# 1
Density functional theory data (GGA-PBE) for a relaxed structure of CePm2Ni9.

POSCAR file:
```
CePm2Ni9
1.0
2.495 1.440 8.266
-2.495 1.440 8.266
0.000 -2.881 8.266
Ce Pm Ni
1 2 9
Direct
0.000 0.000 0.000 Ce
0.139 0.139 0.139 Pm
0.861 0.861 0.861 Pm
0.082 0.581 0.581 Ni
0.333 0.333 0.333 Ni
0.419 0.419 0.918 Ni
0.419 0.918 0.419 Ni
0.500 0.500 0.500 Ni
0.581 0.082 0.581 Ni
0.581 0.581 0.082 Ni
0.667 0.667 0.667 Ni
0.918 0.419 0.419 Ni
```

Crystal system: trigonal
Formation energy (meV/atom): -351.1

# 2
Density functional theory data (GGA-PBE) for a relaxed structure of CePmNi2.

POSCAR file:
```
CePmNi2
1.0
0.000 3.445 3.445
3.445 0.000 3.445
3.445 3.445 0.000
Ce Pm Ni
1 1 2
Direct
0.000 0.000 0.000 Ce
0.500 0.500 0.500 Pm
0.250 0.250 0.250 Ni
0.750 0.750 0.750 Ni
```

Crystal system: cubic
Formation energy (meV/atom): -226.9
Polymorph energy (0 for the lowest one) (meV per atom): 107

# 3
Density functional theory data (GGA-PBE) for a relaxed structure of CePm12Ni7.

POSCAR file:
```
CePm12Ni7
1.0
7.211 4.163 2.892
-7.211 4.163 2.892
0.000 -8.326 2.892
Ce Pm Ni
1 12 7
Direct
0.000 0.000 0.000 Ce
0.053 0.700 0.195 Pm
0.170 0.422 0.531 Pm
0.195 0.053 0.700 Pm
0.300 0.805 0.947 Pm
0.422 0.531 0.170 Pm
0.469 0.830 0.578 Pm
0.531 0.170 0.422 Pm
0.578 0.469 0.830 Pm
0.700 0.195 0.053 Pm
0.805 0.947 0.300 Pm
0.830 0.578 0.469 Pm
0.947 0.300 0.805 Pm
0.095 0.395 0.187 Ni
0.187 0.095 0.395 Ni
0.395 0.187 0.095 Ni
0.500 0.500 0.500 Ni
0.605 0.813 0.905 Ni
0.813 0.905 0.605 Ni
0.905 0.605 0.813 Ni
```

Crystal system: trigonal
Formation energy (meV/atom): -124.6

# 4
Density functional theory data (GGA-PBE) for a relaxed structure of CePm2Ni.

POSCAR file:
```
CePm2Ni
1.0
6.903 0.000 0.000
0.000 9.838 0.000
0.000 0.000 6.475
Ce Pm Ni
4 8 4
Direct
0.040 0.250 0.157 Ce
0.460 0.750 0.657 Ce
0.540 0.250 0.343 Ce
0.960 0.750 0.843 Ce
0.179 0.067 0.669 Pm
0.179 0.433 0.669 Pm
0.321 0.567 0.169 Pm
0.321 0.933 0.169 Pm
0.679 0.067 0.831 Pm
0.679 0.433 0.831 Pm
0.821 0.567 0.331 Pm
0.821 0.933 0.331 Pm
0.126 0.750 0.460 Ni
0.374 0.250 0.960 Ni
0.626 0.750 0.040 Ni
0.874 0.250 0.540 Ni
```

Crystal system: orthorhombic
Formation energy (meV/atom): -140.3
Polymorph energy (0 for the lowest one) (meV per atom): 0

# 5
Density functional theory data (GGA-PBE) for a relaxed structure of Ce2PmNi9.

POSCAR file:
```
Ce2PmNi9
1.0
2.484 1.434 8.231
-2.484 1.434 8.231
0.000 -2.868 8.231
Ce Pm Ni
2 1 9
Direct
0.139 0.139 0.139 Ce
0.861 0.861 0.861 Ce
0.000 0.000 0.000 Pm
0.082 0.583 0.583 Ni
0.333 0.333 0.333 Ni
0.417 0.417 0.918 Ni
0.417 0.918 0.417 Ni
0.500 0.500 0.500 Ni
0.583 0.082 0.583 Ni
0.583 0.583 0.082 Ni
0.667 0.667 0.667 Ni
0.918 0.417 0.417 Ni
```

Crystal system: trigonal
Formation energy (meV/atom): -374.2

# 6
Density functional theory data (GGA-PBE) for a relaxed structure of CePmNi2.

POSCAR file:
```
CePmNi2
1.0
3.653 0.000 0.000
0.000 4.238 0.000
-1.810 0.000 5.443
Ce Pm Ni
1 1 2
Direct
0.000 0.000 0.000 Ce
0.735 0.500 0.467 Pm
0.308 0.000 0.613 Ni
0.460 0.500 0.919 Ni
```

Crystal system: monoclinic
Formation energy (meV/atom): -334.2
Polymorph energy (0 for the lowest one) (meV per atom): 0